(1)
LiCrNiF6 after structural relaxation, computed with PBE+U.

Cell and atoms, written as extended XYZ:
```
18
Lattice="5.160 0.000 0.000 -2.580 4.469 0.000 0.000 0.000 8.970" Properties=species:S:1:pos:R:3 pbc="T T T"
Li 0.000 0.000 0.000
Li 0.000 0.000 4.485
Cr 0.000 2.979 2.242
Cr 2.580 1.490 6.727
Ni 0.000 2.979 6.727
Ni 2.580 1.490 2.242
F -0.846 1.572 1.192
F -1.642 2.950 3.293
F 0.846 1.572 3.293
F -0.796 4.416 1.192
F 1.785 0.053 5.677
F 0.939 1.519 7.778
F 1.642 2.950 1.192
F 0.796 4.416 3.293
F 3.376 0.053 7.778
F 1.734 2.897 5.677
F 4.222 1.519 5.677
F 3.426 2.897 7.778
```

Results
DFT total energy, eV per cell: -90.735
Magnetization, μB per formula unit: 3.0

(2)
LiCrPO4F after structural relaxation, computed with PBE+U.

Cell and atoms, written as extended XYZ:
```
32
Lattice="6.509 -3.171 0.000 6.509 3.171 0.000 -4.534 0.000 8.408" Properties=species:S:1:pos:R:3 pbc="T T T"
Li 4.242 2.481 4.204
Li 4.770 1.501 1.531
Li 2.503 -1.501 5.735
Li 6.509 -2.481 0.000
Cr 0.739 1.044 5.495
Cr 3.006 -1.044 1.291
Cr 5.657 0.850 6.752
Cr 7.924 -0.850 2.548
P -1.460 0.768 7.252
P 0.808 -0.768 3.048
P 2.515 0.717 8.212
P 4.782 -0.717 4.008
O 1.449 0.291 2.039
O 6.262 1.900 0.312
O 5.829 2.292 3.008
O 3.628 0.437 0.245
O -0.818 -0.291 6.242
O 1.361 -0.437 4.449
O 2.023 0.255 6.814
O 4.043 1.180 8.056
O 4.290 -0.255 2.610
O 4.754 0.524 4.973
O 8.137 1.140 2.587
O 7.021 -0.524 0.769
O 3.995 -1.900 4.516
O 6.311 -1.180 3.852
O 5.870 -1.140 6.791
O 3.562 -2.292 7.212
F 2.179 2.061 4.439
F 4.446 -2.061 0.235
F 7.466 0.663 6.219
F 9.733 -0.663 2.016
```

Results
DFT total energy, eV per cell: -219.365
Magnetization, μB per formula unit: 3.0

What is the formula in the second record?
LiCrPO4F

Number 1 is which compound?
LiCrNiF6

What is the magnetization in the second record?
3.0 μB per formula unit